Entry from the Alexandria database: Fe2Au after structural relaxation (PBE).

uncorrected energy = -6.526 eV/atom
density of states at the Fermi level = 2.38 states/eV/f.u.
calculated formation energy = 0.21 eV per atom
magnetic moment = 11.1 μB/cell

POSCAR file:
```
Fe2Au
1.0
-2.456 -3.590 -2.876
-1.753 -4.886 -0.500
-5.989 0.327 1.952
Fe Au
4 2
Direct
0.954 0.954 0.601
0.601 0.601 0.302
0.289 0.289 0.905
0.664 0.664 0.677
0.005 0.005 0.001
0.320 0.320 0.347
```


Entry from the Alexandria database: AgBI after structural relaxation (PBE).

raw formation energy = 310 meV/atom
uncorrected energy = -3.383 eV/atom
magnetic moment = 0.0 μB/cell

POSCAR file:
```
AgBI
1.0
-0.247 2.959 -5.561
-5.160 -3.277 -1.514
-2.532 8.010 4.374
Ag B I
4 4 4
Direct
0.750 0.750 0.000
0.250 0.750 0.000
0.250 0.250 0.000
0.750 0.250 0.000
0.500 0.956 0.913
0.500 0.044 0.087
0.000 0.544 0.087
0.000 0.456 0.913
0.500 0.163 0.327
0.500 0.837 0.673
0.000 0.337 0.673
0.000 0.663 0.327
```


Entry from the Alexandria database: TlP2PdCl after structural relaxation (PBE).

raw formation energy = 1219 meV/atom
uncorrected energy = -2.826 eV/atom
density of states at the Fermi level = 5.94 states/eV/f.u.
excess energy over the best structure of this formula in the dataset = 1.033 eV per atom
magnetic moment = 1.7 μB/cell

POSCAR file:
```
TlP2PdCl
1.0
-1.810 -4.301 2.151
1.111 -2.610 -4.284
4.816 -1.074 1.904
P Tl Cl Pd
2 1 1 1
Direct
0.000 0.500 0.000
0.500 0.000 0.000
0.000 0.000 0.000
0.000 0.000 0.500
0.500 0.500 0.500
```


Entry from the Alexandria database: SbW3 after structural relaxation (PBE).

raw formation energy = 504 meV/atom
uncorrected energy = -10.241 eV/atom
density of states at the Fermi level = 2.75 states/eV/f.u.
excess energy over the best structure of this formula in the dataset = 0.025 eV per atom
magnetic moment = 0.0 μB/cell

POSCAR file:
```
SbW3
1.0
-3.212 -1.410 3.767
1.057 -4.947 -0.950
3.881 0.181 3.377
W Sb
6 2
Direct
0.750 0.500 0.000
0.500 0.000 0.750
0.250 0.500 0.000
0.000 0.250 0.500
0.500 0.000 0.250
0.000 0.750 0.500
0.500 0.500 0.500
0.000 0.000 0.000
```


Entry from the Alexandria database: Er3AlZn8 after structural relaxation (PBE).

uncorrected energy = -2.557 eV/atom
density of states at the Fermi level = 5.11 states/eV/f.u.
calculated formation energy = -0.25 eV per atom
magnetic moment = 0.0 μB/cell

POSCAR file:
```
Er3AlZn8
1.0
-5.101 1.211 1.311
-3.997 -3.410 -1.263
-2.024 -4.738 7.640
Zn Al Er
8 1 3
Direct
0.438 0.438 0.187
0.940 0.436 0.685
0.937 0.438 0.187
0.940 0.940 0.685
0.187 0.187 0.438
0.688 0.688 0.935
0.436 0.940 0.685
0.438 0.937 0.187
0.872 0.872 0.384
0.994 0.994 0.019
0.377 0.377 0.869
0.503 0.503 0.490
```


Entry from the Alexandria database: Nd3SBr3 after structural relaxation (PBE).

raw formation energy = -1692 meV/atom
uncorrected energy = -5.042 eV/atom
density of states at the Fermi level = 2.15 states/eV/f.u.
magnetic moment = 0.0 μB/cell

POSCAR file:
```
Nd3SBr3
1.0
-4.448 3.855 3.944
-0.771 -1.434 6.896
6.196 7.608 5.915
Nd Br S
6 6 2
Direct
0.952 0.294 0.144
0.609 0.952 0.144
0.048 0.706 0.856
0.294 0.609 0.144
0.706 0.391 0.856
0.391 0.048 0.856
0.565 0.222 0.320
0.893 0.565 0.320
0.435 0.778 0.680
0.222 0.893 0.320
0.778 0.107 0.680
0.107 0.435 0.680
0.667 0.667 0.000
0.333 0.333 0.000
```


Entry from the Alexandria database: BaMgPt4 after structural relaxation (PBE).

uncorrected energy = -5.187 eV/atom
density of states at the Fermi level = 6.61 states/eV/f.u.
calculated formation energy = -0.57 eV per atom
magnetic moment = 0.0 μB/cell

POSCAR file:
```
BaMgPt4
1.0
0.000 3.906 3.906
3.906 0.000 3.906
3.906 3.906 0.000
Mg Pt Ba
1 4 1
Direct
0.000 0.000 0.000
0.878 0.374 0.374
0.374 0.374 0.374
0.374 0.374 0.878
0.374 0.878 0.374
0.750 0.750 0.750
```


Entry from the Alexandria database: Rb2NpSnSe4 after structural relaxation (PBE).

raw formation energy = -1033 meV/atom
uncorrected energy = -5.135 eV/atom
density of states at the Fermi level = 5.87 states/eV/f.u.
magnetic moment = 3.0 μB/cell

POSCAR file:
```
Rb2NpSnSe4
1.0
-2.503 2.903 2.030
-4.954 -6.055 2.550
2.664 -2.406 6.726
Se Rb Np Sn
4 2 1 1
Direct
0.000 0.695 0.748
0.000 0.305 0.252
0.500 0.693 0.282
0.500 0.307 0.718
0.500 0.000 0.500
0.000 0.000 0.000
0.000 0.500 0.500
0.500 0.500 0.000
```


Entry from the Alexandria database: SrTe2SN after structural relaxation (PBE).

raw formation energy = 121 meV/atom
uncorrected energy = -3.962 eV/atom
density of states at the Fermi level = 1.81 states/eV/f.u.
excess energy over the best structure of this formula in the dataset = 0.000 eV per atom
magnetic moment = 0.0 μB/cell

POSCAR file:
```
SrTe2SN
1.0
-3.239 -1.288 -5.125
3.017 -5.386 -0.553
-2.342 -1.503 1.858
S Te N Sr
1 2 1 1
Direct
0.000 0.000 0.000
0.500 0.000 0.000
0.000 0.500 0.000
0.000 0.000 0.500
0.500 0.500 0.500
```


Entry from the Alexandria database: K2Cd2In15 after structural relaxation (PBE).

uncorrected energy = -2.393 eV/atom
density of states at the Fermi level = 5.86 states/eV/f.u.
calculated formation energy = -0.02 eV per atom
magnetic moment = 0.0 μB/cell

POSCAR file:
```
K2Cd2In15
1.0
-6.567 4.554 -2.337
-3.312 -5.203 -5.592
-5.842 -3.537 4.762
In K Cd
15 2 2
Direct
0.000 0.708 0.292
0.500 0.000 0.000
0.000 0.500 0.000
0.850 0.357 0.357
0.292 0.000 0.708
0.708 0.292 0.000
0.708 0.000 0.292
0.150 0.643 0.643
0.357 0.357 0.850
0.292 0.708 0.000
0.000 0.292 0.708
0.000 0.000 0.500
0.643 0.643 0.150
0.357 0.850 0.357
0.643 0.150 0.643
0.336 0.336 0.336
0.664 0.664 0.664
0.096 0.096 0.096
0.904 0.904 0.904
```


Entry from the Alexandria database: YLuNiIr after structural relaxation (PBE).

uncorrected energy = -7.093 eV/atom
density of states at the Fermi level = 1.92 states/eV/f.u.
calculated formation energy = -0.69 eV per atom
magnetic moment = 0.0 μB/cell

POSCAR file:
```
YLuNiIr
1.0
4.776 0.000 0.000
2.388 4.136 0.000
2.388 1.379 3.900
Y Lu Ni Ir
1 1 1 1
Direct
0.000 0.000 0.000
0.500 0.500 0.500
0.750 0.750 0.750
0.250 0.250 0.250
```


Entry from the Alexandria database: FeAs4Pd after structural relaxation (PBE).

uncorrected energy = -5.569 eV/atom
density of states at the Fermi level = 2.74 states/eV/f.u.
calculated formation energy = -0.19 eV per atom
magnetic moment = 0.0 μB/cell

POSCAR file:
```
FeAs4Pd
1.0
-5.387 2.493 0.615
-2.418 -4.451 -3.132
-0.550 -3.166 4.924
As Fe Pd
8 2 2
Direct
0.896 0.617 0.132
0.358 0.364 0.418
0.104 0.383 0.868
0.396 0.883 0.132
0.642 0.636 0.582
0.604 0.117 0.868
0.142 0.864 0.582
0.858 0.136 0.418
0.000 0.500 0.500
0.500 0.000 0.500
0.000 0.000 0.000
0.500 0.500 0.000
```


Entry from the Alexandria database: InTcW2 after structural relaxation (PBE).

uncorrected energy = -9.354 eV/atom
density of states at the Fermi level = 3.38 states/eV/f.u.
calculated formation energy = 0.40 eV per atom
excess energy over the best structure of this formula in the dataset = 0.110 eV per atom
magnetic moment = 0.0 μB/cell

POSCAR file:
```
InTcW2
1.0
-6.814 -6.527 0.228
-4.516 -8.288 -0.029
-5.335 -7.342 2.594
Tc In W
1 1 2
Direct
0.745 0.745 0.745
0.497 0.497 0.497
0.254 0.254 0.254
0.004 0.004 0.004
```


Entry from the Alexandria database: VTeCI2 after structural relaxation (PBE).

raw formation energy = 1434 meV/atom
uncorrected energy = -3.483 eV/atom
density of states at the Fermi level = 6.20 states/eV/f.u.
excess energy over the best structure of this formula in the dataset = 0.000 eV per atom
magnetic moment = 3.2 μB/cell

POSCAR file:
```
VTeCI2
1.0
-5.291 1.398 0.304
0.254 -0.227 5.470
1.343 5.050 0.147
Te I V C
1 2 1 1
Direct
0.000 0.000 0.500
0.000 0.500 0.000
0.500 0.000 0.000
0.000 0.000 0.000
0.500 0.500 0.500
```


Entry from the Alexandria database: CdAgBr4 after structural relaxation (PBE).

raw formation energy = 503 meV/atom
uncorrected energy = -1.240 eV/atom
density of states at the Fermi level = 8.43 states/eV/f.u.
excess energy over the best structure of this formula in the dataset = 1.013 eV per atom
magnetic moment = 1.7 μB/cell

POSCAR file:
```
CdAgBr4
1.0
0.000 4.508 4.508
4.508 0.000 4.508
4.508 4.508 0.000
Cd Br Ag
1 4 1
Direct
0.750 0.750 0.750
0.376 0.376 0.873
0.873 0.376 0.376
0.376 0.376 0.376
0.376 0.873 0.376
0.000 0.000 0.000
```


Entry from the Alexandria database: SiNiAsP after structural relaxation (PBE).

raw formation energy = 20 meV/atom
uncorrected energy = -5.296 eV/atom
density of states at the Fermi level = 1.58 states/eV/f.u.
excess energy over the best structure of this formula in the dataset = 0.198 eV per atom
magnetic moment = 0.0 μB/cell

POSCAR file:
```
SiNiAsP
1.0
2.791 -0.011 -0.006
0.761 3.727 -0.005
0.490 0.078 6.483
As Ni Si P
1 1 1 1
Direct
0.544 0.751 0.897
0.080 0.806 0.588
0.501 0.248 0.128
0.459 0.242 0.477
```


Entry from the Alexandria database: TaSi after structural relaxation (PBE).

raw formation energy = -459 meV/atom
uncorrected energy = -9.096 eV/atom
density of states at the Fermi level = 0.28 states/eV/f.u.
magnetic moment = 0.0 μB/cell

POSCAR file:
```
TaSi
1.0
-1.229 -4.877 -0.299
3.287 -0.597 -3.772
3.615 -1.115 3.327
Si Ta
4 4
Direct
0.403 0.097 0.097
0.903 0.403 0.903
0.597 0.597 0.403
0.097 0.903 0.597
0.390 0.610 0.890
0.890 0.890 0.110
0.610 0.110 0.610
0.110 0.390 0.390
```


Entry from the Alexandria database: TmZr4 after structural relaxation (PBE).

uncorrected energy = -7.668 eV/atom
density of states at the Fermi level = 6.60 states/eV/f.u.
calculated formation energy = 0.07 eV per atom
excess energy over the best structure of this formula in the dataset = 0.010 eV per atom
magnetic moment = 0.0 μB/cell

POSCAR file:
```
TmZr4
1.0
3.236 0.000 0.000
0.000 4.598 0.000
-1.618 -2.299 8.168
Zr Tm
4 1
Direct
0.607 0.607 0.215
0.799 0.799 0.598
0.201 0.201 0.402
0.393 0.393 0.785
0.000 0.000 0.000
```


Entry from the Alexandria database: TbPm3Y3 after structural relaxation (PBE).

uncorrected energy = -5.452 eV/atom
density of states at the Fermi level = 13.39 states/eV/f.u.
calculated formation energy = 0.02 eV per atom
excess energy over the best structure of this formula in the dataset = 0.000 eV per atom
magnetic moment = 0.0 μB/cell

POSCAR file:
```
TbPm3Y3
1.0
-2.726 -0.011 5.090
-0.405 -9.669 -0.238
7.585 4.428 4.071
Y Pm Tb
6 6 2
Direct
0.250 0.382 0.477
0.250 0.523 0.905
0.750 0.477 0.095
0.250 0.095 0.618
0.750 0.618 0.523
0.750 0.905 0.382
0.750 0.759 0.950
0.250 0.241 0.050
0.250 0.809 0.759
0.750 0.050 0.809
0.750 0.191 0.241
0.250 0.950 0.191
0.750 0.333 0.667
0.250 0.667 0.333
```


Entry from the Alexandria database: LiZrW4 after structural relaxation (PBE).

uncorrected energy = -9.997 eV/atom
density of states at the Fermi level = 8.29 states/eV/f.u.
calculated formation energy = 0.38 eV per atom
magnetic moment = 0.0 μB/cell

POSCAR file:
```
LiZrW4
1.0
0.000 3.793 3.793
3.793 0.000 3.793
3.793 3.793 0.000
W Zr Li
4 1 1
Direct
0.374 0.374 0.877
0.374 0.877 0.374
0.877 0.374 0.374
0.374 0.374 0.374
0.750 0.750 0.750
0.000 0.000 0.000
```